Entry from Alexandria: a relaxed structure of Tb2ErGa3 (PBE-GGA).

a b c (Å): 5.044 5.044 12.396
angles (deg): 90.00 90.00 120.00
Sites, in units of the cell vectors:
Ga1 0.333 0.667 0.916
Tb1 0.000 0.000 0.500
Ga2 0.667 0.333 0.582
Ga3 0.667 0.333 0.084
Ga4 0.000 0.000 0.251
Tb2 0.667 0.333 0.832
Tb3 0.000 0.000 0.000
Tb4 0.333 0.667 0.168
Ga5 0.000 0.000 0.749
Er1 0.667 0.333 0.333
Ga6 0.333 0.667 0.418
Er2 0.333 0.667 0.667

## Properties
Energy above the most stable polymorph in this dataset (eV/f.u.): 0.000
Fermi-level density of states (states/eV per atom): 0.36
E_form (meV per atom): -583



Entry from Alexandria: a relaxed structure of SrReN2O (PBE-GGA).

a b c (Å): 4.734 4.734 4.390
angles (deg): 90.00 90.00 90.00
Site moments in Bohr magnetons follow the coordinates.
Sites, in units of the cell vectors:
N1 0.500 0.000 0.000  -1.13
O1 0.000 0.000 0.500  -0.17
Sr1 0.000 0.000 0.000  -0.06
Re1 0.500 0.500 0.500  4.04
N2 0.000 0.500 0.000  -1.13

## Properties
Fermi-level density of states (states/eV per atom): 0.63
Formation energy without anion corrections (eV per atom): 2.233



Entry from Alexandria: a relaxed structure of ZrIr2Au (PBE-GGA).

a b c (Å): 4.599 4.599 4.599
angles (deg): 60.00 60.00 60.00
Site moments in Bohr magnetons follow the coordinates.
Sites, in units of the cell vectors:
Zr1 0.750 0.750 0.750  -0.02
Au1 0.500 0.500 0.500  0.01
Ir1 0.250 0.250 0.250  0.22
Ir2 0.000 0.000 0.000  0.29

## Properties
Energy above the most stable polymorph in this dataset (eV/f.u.): 1.686
Fermi-level density of states (states/eV per atom): 1.66
E_form (meV per atom): -112



Look up the Fermi-level density of states of the first one.
0.36 states/eV per atom



What is the formula in the third record?
ZrIr2Au



What is the formula in the second record?
SrReN2O



Repeat the first record exactly.
Entry from Alexandria: a relaxed structure of Tb2ErGa3 (PBE-GGA).

a b c (Å): 5.044 5.044 12.396
angles (deg): 90.00 90.00 120.00
Sites, in units of the cell vectors:
Ga1 0.333 0.667 0.916
Tb1 0.000 0.000 0.500
Ga2 0.667 0.333 0.582
Ga3 0.667 0.333 0.084
Ga4 0.000 0.000 0.251
Tb2 0.667 0.333 0.832
Tb3 0.000 0.000 0.000
Tb4 0.333 0.667 0.168
Ga5 0.000 0.000 0.749
Er1 0.667 0.333 0.333
Ga6 0.333 0.667 0.418
Er2 0.333 0.667 0.667

## Properties
Energy above the most stable polymorph in this dataset (eV/f.u.): 0.000
Fermi-level density of states (states/eV per atom): 0.36
E_form (meV per atom): -583